Here is CrGaO2 after structural relaxation from Alexandria via LeMat-Bulk. Energies are from PBE with a Hubbard U.

abc: 4.9464 4.9464 5.6352
angles: 63.97 63.97 90.00
Atoms (fractional coordinates):
Ga (0.7500, 0.2500, 0.5000)
Ga (0.0000, 0.0000, 0.0000)
Cr (0.2500, 0.7500, 0.5000)
Cr (0.5000, 0.5000, 0.0000)
O (0.0663, 0.6250, 0.2500)
O (0.8750, 0.9337, 0.7500)
O (0.6837, 0.1250, 0.2500)
O (0.3750, 0.3163, 0.7500)

Final energy   -6.41 eV/atom